! Li2ZnTeSe4, relaxed, DFT GGA-PBE; values from VASP
! Electronic total energy, eV per atom: -3.332
! Symmetry: C2/c (15)
! E_form (uncorrected), meV per atom: -559
&SYSTEM
  ibrav = 0, nat = 16, ntyp = 4
/
ATOMIC_SPECIES
Li 6.94 Li.upf
Zn 65.41 Zn.upf
Te 127.60 Te.upf
Se 78.96 Se.upf
ATOMIC_POSITIONS angstrom
Li 0.000 0.000 0.000
Li -2.710 0.000 2.771
Li 2.769 2.801 0.000
Li 0.059 -2.801 2.771
Zn 5.538 0.000 0.000
Zn 2.828 0.000 2.771
Te 0.059 2.801 2.771
Te 2.769 -2.801 0.000
Se 5.499 2.868 0.038
Se 2.866 2.868 2.732
Se 2.886 0.002 0.100
Se 0.176 -0.002 2.871
Se 5.479 0.002 2.671
Se 2.769 -0.002 5.442
Se 2.789 -2.868 2.809
Se 0.156 -2.868 5.503
CELL_PARAMETERS angstrom
5.538 -5.602 0.000
5.538 5.602 0.000
-5.420 0.000 5.541

! LiZnTe2Se, relaxed, DFT GGA-PBE; values from VASP
! Electronic total energy, eV per atom: -2.322
! Symmetry: P4/mmm (123)
! E_form (uncorrected), meV per atom: 270
&SYSTEM
  ibrav = 0, nat = 5, ntyp = 4
/
ATOMIC_SPECIES
Li 6.94 Li.upf
Zn 65.41 Zn.upf
Te 127.60 Te.upf
Se 78.96 Se.upf
ATOMIC_POSITIONS angstrom
Li 0.000 0.000 0.000
Zn 2.640 2.640 2.232
Te 0.000 2.640 0.000
Te 2.640 0.000 0.000
Se 0.000 0.000 2.232
CELL_PARAMETERS angstrom
5.281 0.000 0.000
0.000 5.281 0.000
0.000 0.000 4.463

! Li2ThSe3, relaxed, DFT GGA-PBE; values from VASP
! Electronic total energy, eV per atom: -5.115
! Symmetry: Fddd (70)
! Polymorph energy (0 for the lowest one), kJ/mol of formula units: 0
! E_form (uncorrected), meV per atom: -1498
&SYSTEM
  ibrav = 0, nat = 24, ntyp = 3
/
ATOMIC_SPECIES
Li 6.94 Li.upf
Th 232.04 Th.upf
Se 78.96 Se.upf
ATOMIC_POSITIONS angstrom
Li 1.003 1.454 0.991
Li 3.009 4.363 3.185
Li 1.003 1.454 5.246
Li 5.015 7.271 9.422
Li 3.009 4.363 15.525
Li 7.021 10.179 19.702
Li 5.015 7.271 21.762
Li 7.021 10.179 23.956
Th 3.009 4.363 7.292
Th 3.009 4.363 11.419
Th 5.015 7.271 13.529
Th 5.015 7.271 17.656
Se 2.981 1.457 7.262
Se 5.057 4.363 9.355
Se 3.037 1.457 11.449
Se 5.043 4.365 13.499
Se 7.063 7.271 15.592
Se 4.987 4.365 17.685
Se 3.037 7.268 7.262
Se 0.961 4.363 9.355
Se 2.981 7.268 11.449
Se 4.987 10.177 13.499
Se 2.967 7.271 15.592
Se 5.043 10.177 17.685
CELL_PARAMETERS angstrom
0.000 5.817 12.474
4.012 0.000 12.474
4.012 5.817 0.000

! LiTh2Se4, relaxed, DFT GGA-PBE; values from VASP
! Electronic total energy, eV per atom: -5.916
! Symmetry: C2/m (12)
! Polymorph energy (0 for the lowest one), kJ/mol of formula units: 14
! E_form (uncorrected), meV per atom: -1531
&SYSTEM
  ibrav = 0, nat = 7, ntyp = 3
/
ATOMIC_SPECIES
Li 6.94 Li.upf
Th 232.04 Th.upf
Se 78.96 Se.upf
ATOMIC_POSITIONS angstrom
Li 0.000 0.000 0.000
Th 3.126 0.000 1.743
Th 8.645 0.000 4.755
Se 0.361 0.000 2.788
Se 5.580 0.000 0.106
Se 6.192 0.000 6.391
Se 11.410 0.000 3.709
CELL_PARAMETERS angstrom
7.614 -2.073 0.000
7.614 2.073 0.000
-3.456 0.000 6.497